Computed, not measured: crystalline Nd5Sm4Tl at its relaxed geometry at the GGA-PBE level of DFT.

The energy above the most stable polymorph in this dataset comes out at 0.000 eV/atom. Its space-group type is P4/mmm (123). The calculation puts the density of states at the Fermi level at 1.790 states/eV/atom. For the formation energy, the calculation gives 0.019 eV/atom.

a b c (Å): 4.265 4.265 18.341
angles (deg): 90.00 90.00 90.00
Fractional coordinates of all 10 atoms:
Nd  0.500  0.500  0.500
Nd  0.500  0.500  0.911
Nd  0.500  0.500  0.296
Nd  0.500  0.500  0.704
Nd  0.500  0.500  0.089
Sm  0.000  0.000  0.804
Sm  0.000  0.000  0.196
Sm  0.000  0.000  0.398
Sm  0.000  0.000  0.602
Tl  0.000  0.000  0.000

=====

Computed, not measured: crystalline NdSmTl2 at its relaxed geometry at the GGA-PBE level of DFT.

Its space-group type is P4/mmm (123). The calculation puts the density of states at the Fermi level at 0.872 states/eV/atom. For the formation energy, the calculation gives -0.389 eV/atom.

a b c (Å): 3.888 3.888 7.761
angles (deg): 90.00 90.00 90.00
Fractional coordinates of all 4 atoms:
Tl  0.000  0.000  0.755
Tl  0.000  0.000  0.245
Nd  0.500  0.500  0.500
Sm  0.500  0.500  0.000

=====

Computed, not measured: crystalline Nd14SmTl at its relaxed geometry at the GGA-PBE level of DFT.

Its space-group type is Amm2 (38). The calculation puts the density of states at the Fermi level at 1.266 states/eV/atom. For the formation energy, the calculation gives -0.024 eV/atom.

a b c (Å): 7.269 7.269 10.326
angles (deg): 90.00 90.00 90.00
Fractional coordinates of all 16 atoms:
Nd  0.623  0.377  0.754
Nd  0.127  0.377  0.754
Nd  0.874  0.624  0.000
Nd  0.376  0.126  0.000
Nd  0.375  0.125  0.500
Nd  0.127  0.377  0.246
Nd  0.875  0.125  0.500
Nd  0.623  0.873  0.246
Nd  0.127  0.873  0.245
Nd  0.127  0.873  0.755
Nd  0.875  0.625  0.500
Nd  0.375  0.625  0.500
Nd  0.623  0.377  0.246
Nd  0.623  0.873  0.754
Sm  0.875  0.125  0.000
Tl  0.375  0.625  0.000

=====

Computed, not measured: crystalline NdSm6Tl2 at its relaxed geometry at the GGA-PBE level of DFT.

The energy above the most stable polymorph in this dataset comes out at 0.614 eV/atom. Its space-group type is I-42m (121). The calculation puts the density of states at the Fermi level at 1.398 states/eV/atom. For the formation energy, the calculation gives 0.468 eV/atom.

a b c (Å): 5.679 5.679 11.663
angles (deg): 104.09 104.09 90.00
Fractional coordinates of all 9 atoms:
Tl  0.188  0.188  0.376
Tl  0.812  0.812  0.624
Sm  0.267  0.867  0.134
Sm  0.250  0.750  0.500
Sm  0.733  0.733  0.866
Sm  0.133  0.133  0.866
Sm  0.867  0.267  0.134
Sm  0.750  0.250  0.500
Nd  0.500  0.500  0.000

=====

Computed, not measured: crystalline Nd3Sm3Tl2 at its relaxed geometry at the GGA-PBE level of DFT.

The energy above the most stable polymorph in this dataset comes out at 0.090 eV/atom. Its space-group type is Cmcm (63). The calculation puts the density of states at the Fermi level at 1.228 states/eV/atom. For the formation energy, the calculation gives -0.110 eV/atom.

a b c (Å): 5.373 6.765 15.799
angles (deg): 90.00 90.00 113.40
Fractional coordinates of all 16 atoms:
Nd  0.041  0.081  0.608
Nd  0.959  0.919  0.392
Nd  0.275  0.550  0.750
Nd  0.959  0.919  0.108
Nd  0.041  0.081  0.892
Nd  0.725  0.450  0.250
Tl  0.779  0.559  0.865
Tl  0.779  0.559  0.635
Tl  0.221  0.441  0.365
Tl  0.221  0.441  0.135
Sm  0.556  0.113  0.750
Sm  0.365  0.730  0.530
Sm  0.365  0.730  0.970
Sm  0.635  0.270  0.030
Sm  0.444  0.887  0.250
Sm  0.635  0.270  0.470

=====

Computed, not measured: crystalline Nd2Sm2Tl3 at its relaxed geometry at the GGA-PBE level of DFT.

The energy above the most stable polymorph in this dataset comes out at 0.000 eV/atom. Its space-group type is P-1 (2). The calculation puts the density of states at the Fermi level at 1.120 states/eV/atom. For the formation energy, the calculation gives -0.272 eV/atom.

a b c (Å): 4.496 7.862 6.385
angles (deg): 96.45 69.31 89.95
Fractional coordinates of all 7 atoms:
Tl  0.000  0.000  0.000
Tl  0.151  0.561  0.699
Tl  0.849  0.439  0.301
Sm  0.700  0.847  0.600
Sm  0.300  0.153  0.400
Nd  0.571  0.292  0.859
Nd  0.429  0.708  0.141

=====

Computed, not measured: crystalline Nd6SmTl at its relaxed geometry at the GGA-PBE level of DFT.

The energy above the most stable polymorph in this dataset comes out at 0.473 eV/atom. Its space-group type is P-1 (2). The calculation puts the density of states at the Fermi level at 1.520 states/eV/atom. For the formation energy, the calculation gives 0.389 eV/atom.

a b c (Å): 6.573 6.616 9.309
angles (deg): 69.24 69.52 59.80
Fractional coordinates of all 8 atoms:
Nd  0.041  0.426  0.709
Nd  0.818  0.034  0.711
Nd  0.430  0.815  0.711
Nd  0.182  0.966  0.289
Nd  0.959  0.574  0.291
Nd  0.570  0.185  0.289
Sm  0.500  0.500  0.500
Tl  0.000  0.000  0.000

=====

Computed, not measured: crystalline Nd2SmTl at its relaxed geometry at the GGA-PBE level of DFT.

The energy above the most stable polymorph in this dataset comes out at 0.143 eV/atom. Its space-group type is Fm-3m (225). The calculation puts the density of states at the Fermi level at 1.437 states/eV/atom. For the formation energy, the calculation gives -0.058 eV/atom.

a b c (Å): 5.618 5.618 5.618
angles (deg): 60.00 60.00 60.00
Last column: magnetic moment on the atom in μB.
Fractional coordinates of all 4 atoms:
Nd  0.750  0.750  0.750  0.21
Nd  0.250  0.250  0.250  0.21
Tl  0.500  0.500  0.500  0.00
Sm  0.000  0.000  0.000  0.34

=====

What is the formula in the sixth record?
Nd2Sm2Tl3